# 1
Here is a geometry-optimized K12Rb3Na structure from Alexandria. Energies are from PBE.

Cell and atoms, written as POSCAR:
```
K12Rb3Na
1.0
6.716 0.000 0.000
0.000 6.716 0.000
0.000 0.000 25.845
K Rb Na
12 3 1
Direct
0.000 0.000 0.000
0.000 0.000 0.240
0.000 0.000 0.500
0.000 0.000 0.760
0.000 0.500 0.109
0.000 0.500 0.370
0.000 0.500 0.630
0.000 0.500 0.891
0.500 0.000 0.109
0.500 0.000 0.370
0.500 0.000 0.630
0.500 0.000 0.891
0.500 0.500 0.240
0.500 0.500 0.500
0.500 0.500 0.760
0.500 0.500 0.000
```

Summary:
Calculated formation energy, eV/atom: 0.0076
Density of states at the Fermi level, states/eV/f.u.: 10.8
Calculated density, g/cm³: 1.1
Total energy, eV for the cell shown: -17.27

# 2
Here is a geometry-optimized KRbNa10 structure from Alexandria. Energies are from PBE.

Cell and atoms, written as POSCAR:
```
KRbNa10
1.0
5.895 0.000 0.000
0.000 7.224 0.000
0.000 0.000 12.849
K Rb Na
1 1 10
Direct
0.000 0.000 0.000
0.000 0.500 0.500
0.000 0.000 0.329
0.000 0.000 0.671
0.000 0.500 0.163
0.000 0.500 0.837
0.500 0.000 0.500
0.500 0.249 0.247
0.500 0.249 0.753
0.500 0.500 0.000
0.500 0.751 0.247
0.500 0.751 0.753
```

Summary:
Calculated formation energy, eV/atom: 0.0266
Density of states at the Fermi level, states/eV/f.u.: 5.4
Calculated density, g/cm³: 1.1
Total energy, eV for the cell shown: -14.94

# 3
Here is a geometry-optimized K3Rb4Na structure from Alexandria. Energies are from PBE.

Cell and atoms, written as POSCAR:
```
K3Rb4Na
1.0
13.641 0.000 0.000
0.000 13.050 0.000
0.000 0.000 6.841
K Rb Na
6 8 2
Direct
0.000 0.089 0.000
0.232 0.105 0.500
0.268 0.895 0.000
0.500 0.911 0.500
0.732 0.895 0.000
0.768 0.105 0.500
0.000 0.373 0.500
0.000 0.665 0.000
0.248 0.645 0.500
0.252 0.355 0.000
0.500 0.335 0.500
0.500 0.627 0.000
0.748 0.355 0.000
0.752 0.645 0.500
0.000 0.884 0.499
0.500 0.116 0.999
```

Summary:
Calculated formation energy, eV/atom: 0.0166
Density of states at the Fermi level, states/eV/f.u.: 5.6
Calculated density, g/cm³: 1.3
Total energy, eV for the cell shown: -16.70